A relaxed Pr3MoN4 crystal. Source: the Alexandria database, functional PBE-GGA.

```
16
Lattice="7.873 0.000 0.000 0.000 7.001 0.000 0.000 0.000 5.349" Properties=species:S:1:pos:R:3 pbc="T T T"
Pr 0.000 1.030 0.000
Pr 1.904 2.379 2.711
Pr 2.033 4.622 0.037
Pr 3.937 5.972 2.674
Pr 5.841 4.622 0.037
Pr 5.969 2.379 2.711
Mo 0.000 5.787 2.364
Mo 3.937 1.214 5.039
N 0.000 0.756 2.608
N 0.000 5.738 0.430
N 1.697 4.899 2.672
N 2.239 2.102 5.347
N 3.937 1.263 3.104
N 3.937 6.246 5.283
N 5.634 2.102 5.347
N 6.176 4.899 2.672
```

- VASP energy (eV/atom) = -8.25
- space group = No. 31